Record 1
Material: PrMg2In
Method: DFT, PBE
State: optimized geometry

Unit cell a=4.9146 b=4.6405 c=4.6405 alpha=90.00 beta=90.00 gamma=90.00
Closest atoms and distances in Å follow each position.
Fractional positions:
1 Mg 0.0000 0.5000 0.0000  4 Mg 3.28, 4 Pr 3.38, 4 In 3.38
2 Mg 0.0000 0.0000 0.5000  4 Mg 3.28, 4 Pr 3.38, 4 In 3.38
3 In 0.5000 0.0000 0.0000  4 Pr 3.28, 8 Mg 3.38
4 Pr 0.5000 0.5000 0.5000  4 In 3.28, 8 Mg 3.38

## Properties
Polymorph energy (0 for the lowest one) (kcal/mol of atoms): 0.000
ΔE_f (meV/atom): -286
N(E_F) (states/eV per cell): 2.29
Total moment (μB/f.u.): 0.0
Final energy (eV per atom): -2.96
Space-group type: P4/mmm, No. 123

Record 2
Material: Ce3Nd2Sn4
Method: DFT, PBE
State: optimized geometry

Unit cell a=8.2640 b=8.5298 c=8.4736 alpha=90.00 beta=90.00 gamma=112.06
Closest atoms and distances in Å follow each position.
Fractional positions:
1 Nd 0.5617 0.1986 0.3195  5 Sn 3.23-3.51
2 Nd 0.0617 0.1986 0.1805  5 Sn 3.23-3.51
3 Nd 0.4383 0.8014 0.6805  5 Sn 3.23-3.51
4 Nd 0.9383 0.8014 0.8195  5 Sn 3.23-3.51
5 Ce 0.0000 0.5000 0.5000  6 Sn 3.29-3.31, 2 Ce 3.65
6 Ce 0.5000 0.5000 0.0000  6 Sn 3.29-3.31, 2 Ce 3.65
7 Ce 0.7765 0.7575 0.3325  6 Sn 3.13-3.29
8 Ce 0.7235 0.2425 0.8325  6 Sn 3.13-3.29
9 Ce 0.2765 0.7575 0.1675  6 Sn 3.13-3.29
10 Ce 0.2235 0.2425 0.6675  6 Sn 3.13-3.29
11 Sn 0.3706 0.4902 0.3679  1 Sn 3.06, 5 Ce 3.17-3.29, 1 Nd 3.23
12 Sn 0.6294 0.5098 0.6321  1 Sn 3.06, 5 Ce 3.17-3.29, 1 Nd 3.23
13 Sn 0.8251 0.0826 0.5343  4 Ce 3.13-3.31, 2 Nd 3.26-3.43
14 Sn 0.8706 0.4902 0.1321  1 Sn 3.06, 5 Ce 3.17-3.29, 1 Nd 3.23
15 Sn 0.1749 0.9174 0.4657  4 Ce 3.13-3.31, 2 Nd 3.26-3.43
16 Sn 0.6749 0.9174 0.0343  4 Ce 3.13-3.31, 2 Nd 3.26-3.43
17 Sn 0.3251 0.0826 0.9657  4 Ce 3.13-3.31, 2 Nd 3.26-3.43
18 Sn 0.1294 0.5098 0.8679  1 Sn 3.06, 5 Ce 3.17-3.29, 1 Nd 3.23

## Properties
ΔE_f (meV/atom): -644
N(E_F) (states/eV per cell): 41.02
Total moment (μB/f.u.): 2.6
Final energy (eV per atom): -5.46
Space-group type: P2_1/c, No. 14

Record 3
Material: Pm2SiAu3
Method: DFT, PBE
State: optimized geometry

Unit cell a=3.6874 b=4.4882 c=8.1317 alpha=90.00 beta=90.00 gamma=90.00
Closest atoms and distances in Å follow each position.
Fractional positions:
1 Au 0.5000 0.5000 0.6422  1 Si 2.56, 2 Au 2.77
2 Au 0.5000 0.0000 0.1858  2 Si 2.52, 1 Au 2.79
3 Au 0.5000 0.0000 0.8425  3 Au 2.77-2.79
4 Pm 0.0000 0.5000 0.9990  10 Au 3.17-3.44, 2 Si 3.25
5 Pm 0.0000 0.0000 0.5027  8 Au 3.12-3.32, 4 Si 3.23
6 Si 0.5000 0.5000 0.3277  3 Au 2.52-2.56

## Properties
N(E_F) (states/eV per cell): 3.17
Formation energy without anion corrections (meV per atom): -773
Total moment (μB/f.u.): 0.0
Final energy (eV per atom): -4.90
Space-group type: Pmm2, No. 25

Record 4
Material: Tb14HoCd
Method: DFT, PBE
State: optimized geometry

Unit cell a=7.0464 b=7.0464 c=10.0186 alpha=90.00 beta=90.00 gamma=90.00
Closest atoms and distances in Å follow each position.
Fractional positions:
1 Tb 0.8751 0.6253 0.5000  12 Tb 3.52-3.55
2 Tb 0.3747 0.1249 0.5000  12 Tb 3.52-3.55
3 Tb 0.3749 0.6251 0.5000  12 Tb 3.52-3.55
4 Tb 0.1252 0.3752 0.2474  10 Tb 3.51-3.55, 1 Ho 3.51, 1 Cd 3.52
5 Tb 0.1251 0.8749 0.7530  1 Ho 3.51, 1 Cd 3.51, 10 Tb 3.51-3.56
6 Tb 0.1251 0.8749 0.2470  1 Ho 3.51, 1 Cd 3.51, 10 Tb 3.51-3.56
7 Tb 0.6247 0.3753 0.7523  10 Tb 3.51-3.55, 1 Ho 3.51, 1 Cd 3.52
8 Tb 0.6248 0.8748 0.7526  10 Tb 3.51-3.55, 1 Ho 3.51, 1 Cd 3.52
9 Tb 0.6247 0.3753 0.2477  10 Tb 3.51-3.55, 1 Ho 3.51, 1 Cd 3.52
10 Tb 0.8750 0.1250 0.5000  12 Tb 3.52-3.56
11 Tb 0.1252 0.3752 0.7526  10 Tb 3.51-3.55, 1 Ho 3.51, 1 Cd 3.52
12 Tb 0.8748 0.6243 0.0000  8 Tb 3.51-3.52, 2 Cd 3.52-3.53, 2 Ho 3.52-3.53
13 Tb 0.3757 0.1252 0.0000  8 Tb 3.51-3.52, 2 Cd 3.52-3.53, 2 Ho 3.52-3.53
14 Tb 0.6248 0.8748 0.2474  10 Tb 3.51-3.55, 1 Ho 3.51, 1 Cd 3.52
15 Ho 0.3751 0.6249 0.0000  12 Tb 3.51-3.53
16 Cd 0.8751 0.1249 0.0000  12 Tb 3.51-3.53

## Properties
ΔE_f (meV/atom): -4
N(E_F) (states/eV per cell): 20.71
Total moment (μB/f.u.): 0.0
Final energy (eV per atom): -4.40
Space-group type: P4/mmm, No. 123

Which value of final energy does entry 4 give? -4.40 eV per atom

Which of these has the lowest final energy? Ce3Nd2Sn4

What is the formula in the third record? Pm2SiAu3

final energy of number 3 (Pm2SiAu3)? -4.90 eV per atom